# Sb2PRu, relaxed, DFT PBE-GGA
# V = 166.8 Å³ per cell
# formation energy from raw total energies = 71 kJ/mol of formula units
data_Sb2PRu
_symmetry_space_group_name_H-M 'I m m 2'
_symmetry_Int_Tables_number 44
_symmetry_space_group_name_Hall 'I 2 -2'
_cell_length_a 3.114
_cell_length_b 4.729
_cell_length_c 11.326
_cell_angle_alpha 90.00
_cell_angle_beta 90.00
_cell_angle_gamma 90.00
loop_
_atom_site_label
_atom_site_type_symbol
_atom_site_fract_x
_atom_site_fract_y
_atom_site_fract_z
Sb1 Sb 0.000 0.000 0.000
Sb2 Sb 0.000 0.500 0.200
P1 P 0.000 0.500 0.824
Ru1 Ru 0.000 0.000 0.481